Record 1
Here is a relaxed structure of Ti4AlN2 from Alexandria via LeMat-Bulk. Energies are from PBE.

Computed properties:
* space group: Cmcm, No. 63
* calculated volume: 12.69 A^3/atom
* N(E_F): 6.9 states/eV/cell
* electronic total energy: -8.591 eV/atom
* E_form (uncorrected): -1.17 eV/atom

abc: 3.1170 5.4478 10.9146
angles: 90.00 90.00 106.62
Fractional coordinates of all 14 atoms:
Ti  0.5000  0.0000  0.5000
Ti  0.0909  0.1817  0.2500
Ti  0.2422  0.4844  0.8988
Ti  0.7578  0.5156  0.3988
Ti  0.5000  0.0000  0.0000
Ti  0.7578  0.5156  0.1012
Ti  0.2422  0.4844  0.6012
Ti  0.9091  0.8183  0.7500
N  0.1338  0.2675  0.4400
N  0.8662  0.7325  0.9400
N  0.8662  0.7325  0.5600
N  0.1338  0.2675  0.0600
Al  0.6096  0.2192  0.7500
Al  0.3904  0.7808  0.2500

***

Record 2
Here is a relaxed structure of TiAlN2 from Alexandria via LeMat-Bulk. Energies are from PBE.

Computed properties:
* space group: I-42d, No. 122
* calculated volume: 11.49 A^3/atom
* N(E_F): 5.1 states/eV/cell
* electronic total energy: -8.284 eV/atom
* E_form (uncorrected): -1.21 eV/atom

abc: 4.5470 4.5470 5.4878
angles: 65.53 65.53 90.00
Fractional coordinates of all 8 atoms:
N  0.1414  0.6250  0.2500
N  0.8750  0.8586  0.7500
N  0.6086  0.1250  0.2500
N  0.3750  0.3914  0.7500
Al  0.2500  0.7500  0.5000
Al  0.5000  0.5000  0.0000
Ti  0.7500  0.2500  0.5000
Ti  0.0000  0.0000  0.0000

***

Record 3
Here is a relaxed structure of Ti3AlN from Alexandria via LeMat-Bulk. Energies are from PBE.

Computed properties:
* space group: Pm-3m, No. 221
* calculated volume: 14.09 A^3/atom
* N(E_F): 2.7 states/eV/cell
* electronic total energy: -8.097 eV/atom
* E_form (uncorrected): -0.95 eV/atom

abc: 4.1297 4.1297 4.1297
angles: 90.00 90.00 90.00
Fractional coordinates of all 5 atoms:
Al  0.5000  0.5000  0.5000
Ti  0.5000  0.0000  0.0000
Ti  0.0000  0.0000  0.5000
Ti  0.0000  0.5000  0.0000
N  0.0000  0.0000  0.0000

***

Record 4
Here is a relaxed structure of Ti6AlN from Alexandria via LeMat-Bulk. Energies are from PBE.

Computed properties:
* space group: P-1, No. 2
* calculated volume: 15.60 A^3/atom
* N(E_F): 7.7 states/eV/cell
* electronic total energy: -7.951 eV/atom
* E_form (uncorrected): -0.52 eV/atom

abc: 4.7839 5.4352 5.3121
angles: 80.94 88.83 66.32
Fractional coordinates of all 8 atoms:
N  0.0000  0.0000  0.0000
Ti  0.1804  0.0602  0.3230
Ti  0.5777  0.2338  0.0967
Ti  0.4223  0.7662  0.9033
Ti  0.9468  0.6575  0.2038
Ti  0.0532  0.3425  0.7962
Ti  0.8196  0.9398  0.6770
Al  0.5000  0.5000  0.5000

***

Look up the calculated volume of the first one. 12.69 A^3/atom